Record 1
The following is a DFT calculation (PBE) of an optimized crystal structure of ScTiOs2.

Calculated values
Symmetry: I-42d (122)
ΔE_f in eV/atom: 0.22

Structure (POSCAR):
```
ScTiOs2
1.0
7.0864 0.0000 0.0000
0.0000 7.0864 0.0000
3.5432 3.5432 2.7172
Sc Os Ti
2 4 2
Direct
0.2500 0.7500 0.5000
0.5000 0.5000 0.0000
0.3750 0.3543 0.7500
0.1043 0.6250 0.2500
0.8750 0.8957 0.7500
0.6457 0.1250 0.2500
0.7500 0.2500 0.5000
0.0000 0.0000 0.0000
```

Record 2
The following is a DFT calculation (PBE) of an optimized crystal structure of Sc3TiOs.

Calculated values
Symmetry: Pm-3m (221)
ΔE_f in eV/atom: 0.33

Structure (POSCAR):
```
Sc3TiOs
1.0
-3.0422 -0.8889 3.8555
0.0332 -4.8689 -1.0963
3.9565 -0.6426 2.9738
Sc Ti Os
3 1 1
Direct
0.5000 0.0000 0.0000
0.0000 0.5000 0.0000
0.0000 0.0000 0.5000
0.5000 0.5000 0.5000
0.0000 0.0000 0.0000
```

Record 3
The following is a DFT calculation (PBE) of an optimized crystal structure of ScTi2Os2.

Calculated values
Symmetry: P4/mbm (127)
ΔE_f in eV/atom: -0.31

Structure (POSCAR):
```
ScTi2Os2
1.0
7.4508 0.0000 0.0000
0.0000 7.4508 0.0000
0.0000 0.0000 3.0400
Sc Os Ti
2 4 4
Direct
0.0000 0.0000 0.0000
0.5000 0.5000 0.0000
0.3526 0.8526 0.0000
0.1474 0.3526 0.0000
0.8526 0.6474 0.0000
0.6474 0.1474 0.0000
0.6469 0.8531 0.5000
0.1469 0.6469 0.5000
0.8531 0.3531 0.5000
0.3531 0.1469 0.5000
```

Record 4
The following is a DFT calculation (PBE) of an optimized crystal structure of ScTi3Os4.

Calculated values
Symmetry: Pmmm (47)
ΔE_f in eV/atom: -0.62

Structure (POSCAR):
```
ScTi3Os4
1.0
3.1167 0.0000 0.0000
0.0000 4.4223 0.0000
0.0000 0.0000 8.8222
Os Sc Ti
4 1 3
Direct
0.0000 0.5000 0.7403
0.0000 0.5000 0.2597
0.0000 0.0000 0.0000
0.0000 0.0000 0.5000
0.5000 0.5000 0.0000
0.5000 0.0000 0.2508
0.5000 0.0000 0.7492
0.5000 0.5000 0.5000
```